(1)
This record from the Alexandria database describes an optimized crystal structure of BeGa3Co. The functional is GGA-PBE.

- Crystal system: cubic
- Energy above the lowest structure with this stoichiometry: 0 meV per atom

a = 4.523 Å, b = 4.523 Å, c = 4.523 Å
α = 90.00°, β = 90.00°, γ = 90.00°
Space group Pm-3m (No. 221)
Unique sites:
Be  0.000  0.000  0.000
Ga  0.000  0.500  0.500
Co  0.500  0.500  0.500

(2)
This record from the Alexandria database describes an optimized crystal structure of BeGaCo2. The functional is GGA-PBE.

- Crystal system: tetragonal
- Energy above the lowest structure with this stoichiometry: 1 meV per atom

a = 2.746 Å, b = 2.746 Å, c = 5.493 Å
α = 90.00°, β = 90.00°, γ = 90.00°
Space group P4/mmm (No. 123)
Unique sites:
Be  0.000  0.000  0.000
Ga  0.000  0.000  0.500
Co  0.500  0.500  0.226

(3)
This record from the Alexandria database describes an optimized crystal structure of BeGaCo2. The functional is GGA-PBE.

- Crystal system: cubic
- Energy above the lowest structure with this stoichiometry: 0 meV per atom

a = 5.508 Å, b = 5.508 Å, c = 5.508 Å
α = 90.00°, β = 90.00°, γ = 90.00°
Space group Fm-3m (No. 225)
Unique sites:
Be  0.000  0.000  0.000
Ga  0.000  0.000  0.500
Co  0.250  0.250  0.250

(4)
This record from the Alexandria database describes an optimized crystal structure of BeGa2Co3. The functional is GGA-PBE.

- Crystal system: tetragonal

a = 2.796 Å, b = 2.796 Å, c = 8.357 Å
α = 90.00°, β = 90.00°, γ = 90.00°
Space group P4/mmm (No. 123)
Unique sites:
Be  0.000  0.000  0.000
Ga  0.000  0.000  0.320
Co  0.500  0.500  0.148
Co  0.500  0.500  0.500

(5)
This record from the Alexandria database describes an optimized crystal structure of Be3GaCo. The functional is GGA-PBE.

- Crystal system: cubic
- Energy above the lowest structure with this stoichiometry: 621 meV per atom

a = 4.078 Å, b = 4.078 Å, c = 4.078 Å
α = 90.00°, β = 90.00°, γ = 90.00°
Space group Pm-3m (No. 221)
Unique sites:
Be  0.000  0.000  0.500
Ga  0.000  0.000  0.000
Co  0.500  0.500  0.500

(6)
This record from the Alexandria database describes an optimized crystal structure of Be2GaCo3. The functional is GGA-PBE.

- Crystal system: tetragonal

a = 2.697 Å, b = 2.697 Å, c = 8.105 Å
α = 90.00°, β = 90.00°, γ = 90.00°
Space group P4/mmm (No. 123)
Unique sites:
Be  0.000  0.000  0.152
Ga  0.000  0.000  0.500
Co  0.500  0.500  0.000
Co  0.500  0.500  0.309

no.,calculated formation energy (eV/atom),total energy (eV per atom)
1,0.372,-3.61
2,-0.283,-5.52
3,-0.284,-5.52
4,-0.288,-5.47
5,1.102,-3.16
6,-0.279,-5.58